Here is an optimized crystal structure of BaCa4W from Alexandria. Energies are from PBE.

Values from the calculation:
N(E_F) = 0.509 states/eV/atom
DFT formation energy = 0.97 eV per atom
Energy = -17.081 eV per cell
Space group = F-43m

The structure in CIF format:
```
data_BaCa4W
_chemical_formula_sum 'Ba1 Ca4 W1'
_cell_length_a 6.897
_cell_length_b 6.897
_cell_length_c 6.897
_cell_angle_alpha 60.00
_cell_angle_beta 60.00
_cell_angle_gamma 60.00
_symmetry_space_group_name_H-M 'P 1'
_symmetry_Int_Tables_number 1
loop_
_symmetry_equiv_pos_as_xyz
'x,y,z'
loop_
_atom_site_label
_atom_site_type_symbol
_atom_site_fract_x
_atom_site_fract_y
_atom_site_fract_z
_atom_site_occupancy
Ba1 Ba 0.000 0.000 0.000 1
Ca1 Ca 0.871 0.376 0.376 1
Ca2 Ca 0.376 0.376 0.871 1
Ca3 Ca 0.376 0.871 0.376 1
Ca4 Ca 0.376 0.376 0.376 1
W1 W 0.750 0.750 0.750 1
```


Here is an optimized crystal structure of BaCaW2 from Alexandria. Energies are from PBE.

Values from the calculation:
N(E_F) = 1.351 states/eV/atom
DFT formation energy = 1.36 eV per atom
Energy = -24.408 eV per cell
Polymorph energy (0 for the lowest one) = 717 meV/atom
Space group = P4/mmm

The structure in CIF format:
```
data_BaCaW2
_chemical_formula_sum 'Ba1 Ca1 W2'
_cell_length_a 4.070
_cell_length_b 4.070
_cell_length_c 6.983
_cell_angle_alpha 90.00
_cell_angle_beta 90.00
_cell_angle_gamma 90.00
_symmetry_space_group_name_H-M 'P 1'
_symmetry_Int_Tables_number 1
loop_
_symmetry_equiv_pos_as_xyz
'x,y,z'
loop_
_atom_site_label
_atom_site_type_symbol
_atom_site_fract_x
_atom_site_fract_y
_atom_site_fract_z
_atom_site_occupancy
Ca1 Ca 0.500 0.500 0.750 1
Ba1 Ba 0.500 0.500 0.250 1
W1 W 0.000 0.000 0.912 1
W2 W 0.000 0.000 0.588 1
```


Here is an optimized crystal structure of BaCaW2 from Alexandria. Energies are from PBE.

Values from the calculation:
N(E_F) = 0.922 states/eV/atom
DFT formation energy = 1.09 eV per atom
Energy = -25.490 eV per cell
Polymorph energy (0 for the lowest one) = 447 meV/atom
Space group = C2/m

The structure in CIF format:
```
data_BaCaW2
_chemical_formula_sum 'Ba1 Ca1 W2'
_cell_length_a 5.894
_cell_length_b 5.894
_cell_length_c 6.867
_cell_angle_alpha 64.28
_cell_angle_beta 64.28
_cell_angle_gamma 37.32
_symmetry_space_group_name_H-M 'P 1'
_symmetry_Int_Tables_number 1
loop_
_symmetry_equiv_pos_as_xyz
'x,y,z'
loop_
_atom_site_label
_atom_site_type_symbol
_atom_site_fract_x
_atom_site_fract_y
_atom_site_fract_z
_atom_site_occupancy
Ca1 Ca 0.250 0.250 0.250 1
Ba1 Ba 0.750 0.750 0.750 1
W1 W 0.002 0.002 0.134 1
W2 W 0.498 0.498 0.366 1
```


Here is an optimized crystal structure of BaCaW2 from Alexandria. Energies are from PBE.

Values from the calculation:
N(E_F) = 0.991 states/eV/atom
DFT formation energy = 1.37 eV per atom
Energy = -24.368 eV per cell
Polymorph energy (0 for the lowest one) = 727 meV/atom
Space group = Cmmm

The structure in CIF format:
```
data_BaCaW2
_chemical_formula_sum 'Ba1 Ca1 W2'
_cell_length_a 2.904
_cell_length_b 2.904
_cell_length_c 11.019
_cell_angle_alpha 90.00
_cell_angle_beta 90.00
_cell_angle_gamma 92.62
_symmetry_space_group_name_H-M 'P 1'
_symmetry_Int_Tables_number 1
loop_
_symmetry_equiv_pos_as_xyz
'x,y,z'
loop_
_atom_site_label
_atom_site_type_symbol
_atom_site_fract_x
_atom_site_fract_y
_atom_site_fract_z
_atom_site_occupancy
Ca1 Ca 0.500 0.500 0.750 1
Ba1 Ba 0.500 0.500 0.250 1
W1 W 0.000 0.000 0.984 1
W2 W 0.000 0.000 0.516 1
```